(a)
Mn2CdAs: optimized geometry, GGA-PBE.

Space-group type: R-3m (166)
Volume in Å³/cell: 68.98

Cell lengths 7.9561, 7.9561, 7.9561 Å; angles 23.27, 23.27, 23.27 degrees
Closest atoms and distances in Å follow each position.
Sites, in units of the cell vectors:
As: 0.2500 0.2500 0.2500  6 Mn 2.48
Cd: 0.7500 0.7500 0.7500  6 Mn 2.90, 6 Cd 3.21
Mn: 0.9875 0.9875 0.9875  3 As 2.48
Mn: 0.5125 0.5125 0.5125  3 As 2.48

(b)
Mn2CdAs: optimized geometry, GGA-PBE.

Space-group type: Cmmm (65)
Volume in Å³/cell: 65.92

Cell lengths 6.5324, 4.8574, 2.9069 Å; angles 90.05, 63.49, 122.61 degrees
Closest atoms and distances in Å follow each position.
Sites, in units of the cell vectors:
As: 0.0000 0.5000 0.5000  8 Mn 2.83, 2 As 2.91, 2 Cd 2.92
Cd: 0.5000 0.5000 0.0000  8 Mn 2.83, 2 Cd 2.91, 2 As 2.92
Mn: 0.0000 0.0000 0.0000  4 As 2.83, 4 Cd 2.83, 4 Mn 2.91-2.92
Mn: 0.5000 0.0000 0.5000  4 Cd 2.83, 4 As 2.83, 4 Mn 2.91-2.92

(c)
Mn2CdAs: optimized geometry, GGA-PBE.

Space-group type: P4/mmm (123)
Volume in Å³/cell: 66.76

Cell lengths 4.1982, 4.1942, 3.7912 Å; angles 90.00, 90.00, 90.00 degrees
Closest atoms and distances in Å follow each position.
Sites, in units of the cell vectors:
As: 0.5000 0.0000 0.5000  8 Mn 2.83, 4 Cd 2.97
Cd: 0.0000 0.5000 0.5000  8 Mn 2.83, 4 As 2.97
Mn: 0.0000 0.0000 0.0000  4 Cd 2.83, 4 As 2.83, 4 Mn 2.97
Mn: 0.5000 0.5000 0.0000  4 As 2.83, 4 Cd 2.83, 4 Mn 2.97

(d)
Mn2CdAs: optimized geometry, GGA-PBE.

Space-group type: P4mm (99)
Volume in Å³/cell: 63.68

Cell lengths 2.8411, 2.8411, 7.8889 Å; angles 90.00, 90.00, 90.00 degrees
Closest atoms and distances in Å follow each position.
Sites, in units of the cell vectors:
As: 0.0000 0.0000 0.4221  4 Mn 2.53
Cd: 0.5000 0.5000 0.8001  4 Mn 2.82, 4 Cd 2.84
Mn: 0.0000 0.0000 0.0516  4 Mn 2.44
Mn: 0.5000 0.5000 0.2262  4 Mn 2.44, 4 As 2.53

The least stable of them is (b).

(a)
Mn2CdAs: optimized geometry, GGA-PBE.

Space-group type: Pm (6)
Volume in Å³/cell: 67.22

Cell lengths 4.3382, 2.9482, 5.2716 Å; angles 85.57, 90.00, 90.00 degrees
Closest atoms and distances in Å follow each position.
Sites, in units of the cell vectors:
As: 0.0000 0.5803 0.4024  4 Mn 2.48-2.66
Cd: 0.5000 0.6372 0.7983  7 Mn 2.79-3.03, 2 Cd 2.95, 2 As 3.02
Mn: 0.0000 0.0827 0.0028  2 As 2.48-2.66, 2 Mn 2.70
Mn: 0.5000 0.1997 0.2966  2 As 2.52, 2 Mn 2.70

(b)
Mn2CdAs: optimized geometry, GGA-PBE.

Space-group type: P2/m (10)
Volume in Å³/cell: 64.36

Cell lengths 3.1920, 3.1984, 7.0657 Å; angles 63.16, 90.00, 90.00 degrees
Closest atoms and distances in Å follow each position.
Sites, in units of the cell vectors:
As: 0.5000 0.2500 0.2500  8 Mn 2.62
Cd: 0.5000 0.7500 0.7500  8 Mn 2.91, 2 As 3.15, 4 Cd 3.19-3.20
Mn: 0.0000 0.9597 0.0405  4 As 2.62, 1 Mn 2.64, 4 Cd 2.91
Mn: 0.0000 0.5403 0.4595  4 As 2.62, 1 Mn 2.64, 4 Cd 2.91

The least stable of them is (a).

(a)
Mn2CdAs: optimized geometry, GGA-PBE.

Space-group type: Fm-3m (225)
Volume in Å³/cell: 55.91

Cell lengths 4.2921, 4.2921, 4.2921 Å; angles 60.00, 60.00, 60.00 degrees
Closest atoms and distances in Å follow each position.
Sites, in units of the cell vectors:
As: 0.0000 0.0000 0.0000  8 Mn 2.63
Mn: 0.2500 0.2500 0.2500  4 Cd 2.63, 4 As 2.63
Mn: 0.7500 0.7500 0.7500  4 As 2.63, 4 Cd 2.63
Cd: 0.5000 0.5000 0.5000  8 Mn 2.63

(b)
Mn2CdAs: optimized geometry, GGA-PBE.

Space-group type: C2/m (12)
Volume in Å³/cell: 66.39

Cell lengths 4.8890, 4.8890, 4.4224 Å; angles 63.61, 63.61, 45.82 degrees
Closest atoms and distances in Å follow each position.
Sites, in units of the cell vectors:
As: 0.7500 0.7500 0.7500  4 Mn 2.64, 4 Cd 2.92
Cd: 0.2500 0.2500 0.2500  8 Mn 2.85-2.88, 4 As 2.92
Mn: 0.0186 0.0186 0.9803  2 As 2.64, 4 Cd 2.85-2.88, 4 Mn 2.92-2.94
Mn: 0.4814 0.4814 0.5197  2 As 2.64, 4 Cd 2.85-2.88, 4 Mn 2.92-2.94

(c)
Mn2CdAs: optimized geometry, GGA-PBE.

Space-group type: Cm (8)
Volume in Å³/cell: 67.05

Cell lengths 5.3451, 5.3451, 4.2417 Å; angles 66.97, 66.97, 37.41 degrees
Closest atoms and distances in Å follow each position.
Sites, in units of the cell vectors:
As: 0.4785 0.4785 0.5228  6 Mn 2.59-2.75
Cd: 0.2409 0.2409 0.2585  8 Mn 2.74-3.03, 4 As 2.97-3.05
Mn: 0.0119 0.0119 0.9875  4 As 2.74-2.75, 2 Mn 2.92, 4 Cd 2.98-3.03
Mn: 0.7687 0.7687 0.7312  2 As 2.59, 4 Cd 2.74

The least stable of them is (a).

(a)
MnCdAs: optimized geometry, GGA-PBE.

Space-group type: P-6m2 (187)
Volume in Å³/cell: 59.35

Cell lengths 4.1547, 4.1547, 3.9703 Å; angles 90.00, 90.00, 120.00 degrees
Closest atoms and distances in Å follow each position.
Sites, in units of the cell vectors:
As: 0.0000 0.0000 0.8330  3 Mn 2.40
Cd: 0.6667 0.3333 0.3334  6 As 3.11, 6 Mn 3.11
Mn: 0.3333 0.6667 0.8336  3 As 2.40

(b)
MnCdAs: optimized geometry, GGA-PBE.

Space-group type: P3m1 (156)
Volume in Å³/cell: 56.77

Cell lengths 3.2267, 3.2267, 6.2957 Å; angles 90.00, 90.00, 120.00 degrees
Closest atoms and distances in Å follow each position.
Sites, in units of the cell vectors:
As: 0.0000 0.0000 0.9420  3 Mn 2.40
Cd: 0.3333 0.6667 0.3568  3 Mn 2.86
Mn: 0.6667 0.3333 0.7011  3 As 2.40

The least stable of them is (a).

(a)
MnCdAs: optimized geometry, GGA-PBE.

Space-group type: F-43m (216)
Volume in Å³/cell: 63.59

Cell lengths 4.4801, 4.4801, 4.4801 Å; angles 60.00, 60.00, 60.00 degrees
Closest atoms and distances in Å follow each position.
Sites, in units of the cell vectors:
As: 0.7500 0.7500 0.7500  4 Mn 2.74, 4 Cd 2.74
Cd: 0.0000 0.0000 0.0000  4 As 2.74
Mn: 0.5000 0.5000 0.5000  4 As 2.74

(b)
MnCdAs: optimized geometry, GGA-PBE.

Space-group type: P4/nmm (129)
Volume in Å³/cell: 112.16

Cell lengths 4.2323, 4.2323, 6.2613 Å; angles 90.00, 90.00, 90.00 degrees
Closest atoms and distances in Å follow each position.
Sites, in units of the cell vectors:
As: 0.5000 0.0000 0.7374  4 Mn 2.59, 1 Cd 2.73
As: 0.0000 0.5000 0.2626  4 Mn 2.59, 1 Cd 2.73
Cd: 0.5000 0.0000 0.1733  5 As 2.73-3.04, 4 Mn 2.94
Cd: 0.0000 0.5000 0.8267  5 As 2.73-3.04, 4 Mn 2.94
Mn: 0.5000 0.5000 0.5000  4 As 2.59
Mn: 0.0000 0.0000 0.5000  4 As 2.59

(c)
MnCdAs: optimized geometry, GGA-PBE.

Space-group type: I4mm (107)
Volume in Å³/cell: 54.47

Cell lengths 5.8062, 5.8062, 5.8062 Å; angles 148.10, 148.10, 45.74 degrees
Closest atoms and distances in Å follow each position.
Sites, in units of the cell vectors:
As: 0.0384 0.0384 0.0000  4 Mn 2.50
Cd: 0.3226 0.3226 0.0000  4 Mn 2.99, 5 As 3.04-3.23, 4 Cd 3.19
Mn: 0.6390 0.6390 0.0000  4 As 2.50

The least stable of them is (a).

(a)
CdMo3As: optimized geometry, GGA-PBE.

Space-group type: Pm-3m (221)
Volume in Å³/cell: 100.19

Cell lengths 4.6445, 4.6445, 4.6445 Å; angles 90.00, 90.00, 90.00 degrees
Closest atoms and distances in Å follow each position.
Sites, in units of the cell vectors:
Mo: 0.0000 0.5000 0.0000  2 As 2.32
Mo: 0.0000 0.0000 0.5000  2 As 2.32
Mo: 0.5000 0.0000 0.0000  2 As 2.32
As: 0.0000 0.0000 0.0000  6 Mo 2.32
Cd: 0.5000 0.5000 0.5000  12 Mo 3.28

(b)
CdMo3As: optimized geometry, GGA-PBE.

Space-group type: Pm-3m (221)
Volume in Å³/cell: 118.86

Cell lengths 4.9167, 4.9167, 4.9167 Å; angles 90.00, 90.00, 90.00 degrees
Closest atoms and distances in Å follow each position.
Sites, in units of the cell vectors:
Mo: 0.0000 0.5000 0.0000  2 Cd 2.46
Mo: 0.0000 0.0000 0.5000  2 Cd 2.46
Mo: 0.5000 0.0000 0.0000  2 Cd 2.46
As: 0.5000 0.5000 0.5000  12 Mo 3.48
Cd: 0.0000 0.0000 0.0000  6 Mo 2.46

The least stable of them is (b).

(a)
Cd3MoAs: optimized geometry, GGA-PBE.

Space-group type: Pm-3m (221)
Volume in Å³/cell: 142.69

Cell lengths 5.2255, 5.2255, 5.2255 Å; angles 90.00, 90.00, 90.00 degrees
Closest atoms and distances in Å follow each position.
Sites, in units of the cell vectors:
Mo: 0.5000 0.5000 0.5000  12 Cd 3.69
As: 0.0000 0.0000 0.0000  6 Cd 2.61
Cd: 0.0000 0.5000 0.0000  2 As 2.61
Cd: 0.0000 0.0000 0.5000  2 As 2.61
Cd: 0.5000 0.0000 0.0000  2 As 2.61

(b)
Cd3MoAs: optimized geometry, GGA-PBE.

Space-group type: Pm-3m (221)
Volume in Å³/cell: 154.56

Cell lengths 5.3666, 5.3666, 5.3666 Å; angles 90.00, 90.00, 90.00 degrees
Closest atoms and distances in Å follow each position.
Sites, in units of the cell vectors:
Mo: 0.0000 0.0000 0.0000  6 Cd 2.68
As: 0.5000 0.5000 0.5000  12 Cd 3.79
Cd: 0.0000 0.5000 0.0000  2 Mo 2.68
Cd: 0.0000 0.0000 0.5000  2 Mo 2.68
Cd: 0.5000 0.0000 0.0000  2 Mo 2.68

The least stable of them is (b).

(a)
CdTeAsN2: optimized geometry, GGA-PBE.

Space-group type: P4/mmm (123)
Volume in Å³/cell: 116.94

Cell lengths 4.2806, 4.2806, 6.3817 Å; angles 90.00, 90.00, 90.00 degrees
Closest atoms and distances in Å follow each position.
Sites, in units of the cell vectors:
N: 0.0000 0.5000 0.0000  2 Cd 2.14
N: 0.5000 0.0000 0.0000  2 Cd 2.14
As: 0.5000 0.5000 0.5000  4 Te 3.03
Te: 0.0000 0.0000 0.5000  4 As 3.03, 2 Cd 3.19
Cd: 0.0000 0.0000 0.0000  4 N 2.14

(b)
CdTeAsN2: optimized geometry, GGA-PBE.

Space-group type: P4/mmm (123)
Volume in Å³/cell: 98.44

Cell lengths 3.8945, 3.8945, 6.4906 Å; angles 90.00, 90.00, 90.00 degrees
Closest atoms and distances in Å follow each position.
Sites, in units of the cell vectors:
N: 0.0000 0.5000 0.0000  2 As 1.95
N: 0.5000 0.0000 0.0000  2 As 1.95
As: 0.0000 0.0000 0.0000  4 N 1.95
Te: 0.0000 0.0000 0.5000  4 Cd 2.75
Cd: 0.5000 0.5000 0.5000  4 Te 2.75

The least stable of them is (a).